(1)
This record from the Alexandria database describes a relaxed HoCu4Au crystal. The functional is PBEsol.

Calculated values
M_tot   0.000 μB/atom
Calculated formation energy   -363.6 meV per atom

a b c (Å): 4.9380 4.9380 4.9380
angles (deg): 60.00 60.00 60.00
Positions (direct):
Ho: 0.7500 0.7500 0.7500
Cu: 0.3743 0.3743 0.8770
Cu: 0.8770 0.3743 0.3743
Cu: 0.3743 0.3743 0.3743
Cu: 0.3743 0.8770 0.3743
Au: 0.0000 0.0000 0.0000

***

(2)
This record from the Alexandria database describes a relaxed CuAu2I crystal. The functional is PBEsol.

Calculated values
Uncorrected formation energy   54 kJ/mol of atoms
M_tot   0.000 μB/atom

a b c (Å): 4.7596 4.7596 4.7596
angles (deg): 60.00 60.00 60.00
Positions (direct):
I: 0.5000 0.5000 0.5000
Au: 0.2500 0.2500 0.2500
Au: 0.7500 0.7500 0.7500
Cu: 0.0000 0.0000 0.0000

***

(3)
This record from the Alexandria database describes a relaxed CuAuI3 crystal. The functional is PBEsol.

Calculated values
Uncorrected formation energy   56 kJ/mol of atoms
M_tot   0.000 μB/atom

a b c (Å): 5.5232 5.5232 5.5232
angles (deg): 90.00 90.00 90.00
Positions (direct):
I: 0.0000 0.5000 0.0000
I: 0.0000 0.0000 0.5000
I: 0.5000 0.0000 0.0000
Au: 0.0000 0.0000 0.0000
Cu: 0.5000 0.5000 0.5000

***

(4)
This record from the Alexandria database describes a relaxed CuAuI2 crystal. The functional is PBEsol.

Calculated values
Uncorrected formation energy   1 kJ/mol of atoms
M_tot   0.000 μB/atom

a b c (Å): 6.1750 6.1750 7.4872
angles (deg): 114.35 114.35 90.00
Positions (direct):
I: 0.4011 0.8750 0.2500
I: 0.8489 0.3750 0.2500
I: 0.1250 0.1511 0.7500
I: 0.6250 0.5989 0.7500
Au: 0.2500 0.7500 0.5000
Au: 0.0000 0.0000 0.0000
Cu: 0.7500 0.2500 0.5000
Cu: 0.5000 0.5000 0.0000

***

(5)
This record from the Alexandria database describes a relaxed La2CuAuI crystal. The functional is PBEsol.

Calculated values
Uncorrected formation energy   32 kJ/mol of atoms
M_tot   0.000 μB/atom

a b c (Å): 5.5324 5.6769 5.6769
angles (deg): 90.00 90.00 90.00
Positions (direct):
I: 0.5000 0.0000 0.0000
Au: 0.0000 0.0000 0.0000
Cu: 0.5000 0.5000 0.5000
La: 0.0000 0.0000 0.5000
La: 0.0000 0.5000 0.0000

***

(6)
This record from the Alexandria database describes a relaxed CuAuI2N crystal. The functional is PBEsol.

Calculated values
Uncorrected formation energy   101 kJ/mol of atoms
M_tot   0.000 μB/atom

a b c (Å): 3.7330 5.7465 5.7465
angles (deg): 90.00 90.00 90.00
Positions (direct):
I: 0.0000 0.0000 0.5000
I: 0.0000 0.5000 0.0000
Au: 0.0000 0.0000 0.0000
Cu: 0.5000 0.5000 0.5000
N: 0.5000 0.0000 0.0000

***

(7)
This record from the Alexandria database describes a relaxed CuAuI2O crystal. The functional is PBEsol.

Calculated values
Uncorrected formation energy   49 kJ/mol of atoms
M_tot   0.106 μB/atom

a b c (Å): 3.8943 5.5723 5.5723
angles (deg): 90.00 90.00 90.00
Each line ends with the local moment (μB).
Positions (direct):
I: 0.0000 0.0000 0.5000  0.01
I: 0.0000 0.5000 0.0000  0.01
Au: 0.0000 0.0000 0.0000  0.13
O: 0.5000 0.0000 0.0000  0.32
Cu: 0.5000 0.5000 0.5000  0.00

***

(8)
This record from the Alexandria database describes a relaxed InCuAu2 crystal. The functional is PBEsol.

Calculated values
M_tot   0.000 μB/atom
Calculated formation energy   -94.6 meV per atom

a b c (Å): 4.0453 4.1640 4.8900
angles (deg): 115.31 114.43 90.00
Positions (direct):
Au: 0.2461 0.2463 0.4923
Au: 0.7539 0.7537 0.5077
Cu: 0.5000 0.0000 0.0000
In: 0.0000 0.5000 0.0000